[1]
DFT (GGA-PBE) results for a relaxed structure of CaScMo2.

Calculated values
* polymorph energy (0 for the lowest one): 188.0 meV/atom
* total magnetic moment: 0.00 μB per cell
* E_tot: -56.83 eV for the cell shown

```
data_CaScMo2
_chemical_formula_sum 'Ca2 Sc2 Mo4'
_symmetry_space_group_name_H-M 'C m m 2'
_symmetry_Int_Tables_number 35
_symmetry_space_group_name_Hall 'C 2 -2'
_cell_length_a 3.363
_cell_length_b 5.028
_cell_length_c 9.943
_cell_angle_alpha 90.00
_cell_angle_beta 90.00
_cell_angle_gamma 90.00
loop_
_atom_site_label
_atom_site_type_symbol
_atom_site_fract_x
_atom_site_fract_y
_atom_site_fract_z
Ca1 Ca 0.000 0.000 0.000
Sc1 Sc 0.000 0.500 0.319
Mo1 Mo 0.000 0.000 0.547
Mo2 Mo 0.000 0.500 0.738
```

---

[2]
DFT (GGA-PBE) results for a relaxed structure of Ac2PmBi.

Calculated values
* polymorph energy (0 for the lowest one): 0.0 meV/atom
* total magnetic moment: 0.00 μB per cell
* E_tot: -18.34 eV for the cell shown

```
data_Ac2PmBi
_chemical_formula_sum 'Ac2 Pm1 Bi1'
_symmetry_space_group_name_H-M 'P 4/m m m'
_symmetry_Int_Tables_number 123
_symmetry_space_group_name_Hall '-P 4 2'
_cell_length_a 5.264
_cell_length_b 5.264
_cell_length_c 5.180
_cell_angle_alpha 90.00
_cell_angle_beta 90.00
_cell_angle_gamma 90.00
loop_
_atom_site_label
_atom_site_type_symbol
_atom_site_fract_x
_atom_site_fract_y
_atom_site_fract_z
Ac1 Ac 0.000 0.500 0.000
Pm1 Pm 0.000 0.000 0.500
Bi1 Bi 0.500 0.500 0.500
```

---

[3]
DFT (GGA-PBE) results for a relaxed structure of CaZrTe.

Calculated values
* polymorph energy (0 for the lowest one): 53.1 meV/atom
* total magnetic moment: 0.36 μB per cell
* E_tot: -15.09 eV for the cell shown

```
data_CaZrTe
_chemical_formula_sum 'Ca1 Zr1 Te1'
_symmetry_space_group_name_H-M 'P 3 m 1'
_symmetry_Int_Tables_number 156
_symmetry_space_group_name_Hall 'P 3 -2"'
_cell_length_a 3.8381
_cell_length_b 3.8381
_cell_length_c 6.9124
_cell_angle_alpha 90.00
_cell_angle_beta 90.00
_cell_angle_gamma 120.00
loop_
_atom_site_label
_atom_site_type_symbol
_atom_site_fract_x
_atom_site_fract_y
_atom_site_fract_z
Ca1 Ca 0.0000 0.0000 0.0000
Zr1 Zr 0.6667 0.3333 0.6005
Te1 Te 0.3333 0.6667 0.3313
```

---

[4]
DFT (GGA-PBE) results for a relaxed structure of Tb2Pr5Tm2.

Calculated values
* polymorph energy (0 for the lowest one): 0.0 meV/atom
* total magnetic moment: 0.00 μB per cell
* E_tot: -41.92 eV for the cell shown

```
data_Tb2Pr5Tm2
_chemical_formula_sum 'Tb2 Pr5 Tm2'
_symmetry_space_group_name_H-M 'P -1'
_symmetry_Int_Tables_number 2
_symmetry_space_group_name_Hall '-P 1'
_cell_length_a 6.287
_cell_length_b 6.289
_cell_length_c 8.113
_cell_angle_alpha 75.06
_cell_angle_beta 82.50
_cell_angle_gamma 80.40
loop_
_atom_site_label
_atom_site_type_symbol
_atom_site_fract_x
_atom_site_fract_y
_atom_site_fract_z
Tb1 Tb 0.112 0.058 0.282
Pr1 Pr 0.000 0.500 0.500
Pr2 Pr 0.223 0.611 0.055
Pr3 Pr 0.335 0.166 0.828
Tm1 Tm 0.443 0.725 0.608
```

---

[5]
DFT (GGA-PBE) results for a relaxed structure of BaLiReW2.

Calculated values
* total magnetic moment: 0.88 μB per cell
* E_tot: -23.83 eV for the cell shown

```
data_BaLiReW2
_chemical_formula_sum 'Ba1 Li1 Re1 W2'
_symmetry_space_group_name_H-M 'P 4/m m m'
_symmetry_Int_Tables_number 123
_symmetry_space_group_name_Hall '-P 4 2'
_cell_length_a 5.054
_cell_length_b 5.054
_cell_length_c 5.033
_cell_angle_alpha 90.00
_cell_angle_beta 90.00
_cell_angle_gamma 90.00
loop_
_atom_site_label
_atom_site_type_symbol
_atom_site_fract_x
_atom_site_fract_y
_atom_site_fract_z
Ba1 Ba 0.000 0.000 0.000
Li1 Li 0.500 0.500 0.500
Re1 Re 0.000 0.000 0.500
W1 W 0.000 0.500 0.000
```

---

[6]
DFT (GGA-PBE) results for a relaxed structure of As2RuCl.

Calculated values
* polymorph energy (0 for the lowest one): 417.9 meV/atom
* total magnetic moment: 0.00 μB per cell
* E_tot: -38.88 eV for the cell shown

```
data_As2RuCl
_chemical_formula_sum 'As4 Ru2 Cl2'
_symmetry_space_group_name_H-M 'I m m m'
_symmetry_Int_Tables_number 71
_symmetry_space_group_name_Hall '-I 2 2'
_cell_length_a 2.948
_cell_length_b 4.473
_cell_length_c 11.042
_cell_angle_alpha 90.00
_cell_angle_beta 90.00
_cell_angle_gamma 90.00
loop_
_atom_site_label
_atom_site_type_symbol
_atom_site_fract_x
_atom_site_fract_y
_atom_site_fract_z
As1 As 0.000 0.000 0.191
Ru1 Ru 0.000 0.500 0.500
Cl1 Cl 0.000 0.500 0.000
```

---

[7]
DFT (GGA-PBE) results for a relaxed structure of LaPaPt2.

Calculated values
* polymorph energy (0 for the lowest one): 61.4 meV/atom
* total magnetic moment: 0.00 μB per cell
* E_tot: -91.18 eV for the cell shown

```
data_LaPaPt2
_chemical_formula_sum 'La3 Pa3 Pt6'
_symmetry_space_group_name_H-M 'R 3 m'
_symmetry_Int_Tables_number 160
_symmetry_space_group_name_Hall 'R 3 -2"'
_cell_length_a 4.0524
_cell_length_b 4.0524
_cell_length_c 21.7509
_cell_angle_alpha 90.00
_cell_angle_beta 90.00
_cell_angle_gamma 120.00
loop_
_atom_site_label
_atom_site_type_symbol
_atom_site_fract_x
_atom_site_fract_y
_atom_site_fract_z
La1 La 0.0000 0.0000 0.0000
Pa1 Pa 0.0000 0.0000 0.1716
Pt1 Pt 0.0000 0.0000 0.5784
Pt2 Pt 0.0000 0.0000 0.7628
```

---

[8]
DFT (GGA-PBE) results for a relaxed structure of Cs2KIn2.

Calculated values
* polymorph energy (0 for the lowest one): 48.2 meV/atom
* total magnetic moment: 0.00 μB per cell
* E_tot: -16.20 eV for the cell shown

```
data_Cs2KIn2
_chemical_formula_sum 'Cs4 K2 In4'
_symmetry_space_group_name_H-M 'I 4/m m m'
_symmetry_Int_Tables_number 139
_symmetry_space_group_name_Hall '-I 4 2'
_cell_length_a 4.465
_cell_length_b 4.465
_cell_length_c 29.646
_cell_angle_alpha 90.00
_cell_angle_beta 90.00
_cell_angle_gamma 90.00
loop_
_atom_site_label
_atom_site_type_symbol
_atom_site_fract_x
_atom_site_fract_y
_atom_site_fract_z
Cs1 Cs 0.000 0.000 0.136
K1 K 0.000 0.000 0.500
In1 In 0.000 0.500 0.250
```

---

- Among the records above, which one has the lowest E_tot?
  LaPaPt2